No. 1
TeAs2W | PBE | optimized geometry

## Properties
- E: -6.05 eV/atom
- Symmetry: Pm
- Calculated volume: 24.3 Å³ per atom
- Formation energy (no corrections): 0.303 eV per atom

abc: 3.357 4.110 7.221
angles: 90.00 103.19 90.00
Fractional positions:
Te  0.000  0.000  0.000
As  0.236  0.500  0.481
As  0.707  0.000  0.423
W  0.597  0.500  0.197

---

No. 2
TeAs2W | PBE | optimized geometry

## Properties
- E: -6.18 eV/atom
- Symmetry: Cm
- Calculated volume: 24.1 Å³ per atom
- Formation energy (no corrections): 0.165 eV per atom

abc: 4.488 4.488 6.919
angles: 99.76 99.76 44.76
Fractional positions:
Te  0.000  0.000  0.000
As  0.240  0.240  0.562
As  0.446  0.446  0.363
W  0.721  0.721  0.255

---

No. 3
TeAs2W | PBE | optimized geometry

## Properties
- E: -6.16 eV/atom
- Symmetry: P4/mmm
- Calculated volume: 21.8 Å³ per atom
- Formation energy (no corrections): 0.184 eV per atom

abc: 3.132 3.132 8.875
angles: 90.00 90.00 90.00
Fractional positions:
Te  0.000  0.000  0.000
As  0.500  0.500  0.331
As  0.500  0.500  0.669
W  0.000  0.000  0.500